Compound: Tl2V2AgO6
Source: Alexandria
Functional: PBE with a Hubbard U
Structure: optimized geometry

Computed properties:
- crystal system = trigonal
- ρ (g/cm3) = 5.9
- VASP energy (eV per atom) = -5.8093

Lattice parameters (Å, degrees): 6.9729 6.9729 6.9729 53.37 53.37 53.37
Fractional positions:
Tl1 0.2008 0.2008 0.2008
Tl2 0.7992 0.7992 0.7992
V1 0.4200 0.4200 0.4200
V2 0.5800 0.5800 0.5800
Ag1 0.0000 0.0000 0.0000
O1 0.2600 0.2600 0.7338
O2 0.2600 0.7338 0.2600
O3 0.2662 0.7400 0.7400
O4 0.7338 0.2600 0.2600
O5 0.7400 0.2662 0.7400
O6 0.7400 0.7400 0.2662